First-principles (PBE) data for an optimized crystal structure of H2PdPtAu, as listed in the Alexandria database.

Lattice parameters (Å, degrees): 3.0319 3.0319 12.1993 90.00 90.00 90.00
With the nearest neighbours (Å) after each atom.
Space group I4mm (No. 107)
One atom of each set of equivalent atoms:
H 0.0000 0.5000 0.0000  2 Pt 1.84, 2 Pd 1.94
Pd 0.0000 0.0000 0.0994  4 H 1.94
Pt 0.0000 0.0000 0.4151  4 H 1.84
Au 0.0000 0.0000 0.7553  4 Pd 2.87, 4 Pt 2.90, 4 Au 3.03

***

First-principles (PBE) data for an optimized crystal structure of UAsRuSe, as listed in the Alexandria database.

Lattice parameters (Å, degrees): 4.2018 4.2018 8.5886 90.00 90.00 90.00
With the nearest neighbours (Å) after each atom.
Space group P4/nmm (No. 129, origin choice 2)
One atom of each set of equivalent atoms:
U 0.2500 0.2500 0.2364  4 Se 2.92, 4 Ru 3.09, 4 As 3.09
As 0.2500 0.2500 0.6646  4 Ru 2.53
Ru 0.2500 0.7500 0.5000  4 As 2.53
Se 0.2500 0.7500 0.0000  4 U 2.92, 4 Se 2.97

***

Number 1: raw total energy -4.2581 eV per atom. Number 2: raw total energy -7.8181 eV per atom.